[1]
Density functional theory data (PBE-GGA) for an optimized crystal structure of AcBe4Pt3O12.

## Properties
uncorrected energy	-0.474	Ry/atom

Cell lengths 6.3836, 6.3836, 6.3836 Å; angles 104.82, 104.82, 104.82 degrees
Closest atoms and distances in Å follow each position.
Sites, in units of the cell vectors:
1 O 0.0831 0.9169 0.5000  1 Be 1.59
2 O 0.7659 0.0381 0.6384  1 Be 1.52
3 O 0.3449 0.6551 0.5000  1 Be 1.57
4 O 0.0381 0.6384 0.7659  1 Be 1.52
5 O 0.9169 0.5000 0.0831  1 Be 1.59
6 O 0.6384 0.7659 0.0381  1 Be 1.52
7 O 0.9619 0.2341 0.3617  1 Be 1.52
8 O 0.3617 0.9619 0.2341  1 Be 1.52
9 O 0.6551 0.5000 0.3449  1 Be 1.57
10 O 0.2341 0.3617 0.9619  1 Be 1.52
11 O 0.5000 0.3449 0.6551  1 Be 1.57
12 O 0.5000 0.0831 0.9169  1 Be 1.59
13 Ac 0.0000 0.0000 0.0000  6 O 2.52
14 Pt 0.0000 0.5668 0.4332  6 O 1.99-2.06
15 Pt 0.4332 0.0000 0.5668  6 O 1.99-2.06
16 Pt 0.5668 0.4332 0.0000  6 O 1.99-2.06
17 Be 0.5000 0.5000 0.5000  3 O 1.57
18 Be 0.5000 0.9261 0.0739  3 O 1.52-1.59
19 Be 0.9261 0.0739 0.5000  3 O 1.52-1.59
20 Be 0.0739 0.5000 0.9261  3 O 1.52-1.59

=====

[2]
Density functional theory data (PBE-GGA) for an optimized crystal structure of Hg2GePd.

## Properties
uncorrected energy	-0.171	Ry/atom
formation energy from the elements	6.5	kcal/mol of atoms

Cell lengths 2.9859, 2.9859, 11.1653 Å; angles 82.32, 82.32, 60.00 degrees
Closest atoms and distances in Å follow each position.
Sites, in units of the cell vectors:
1 Pd 0.0000 0.0000 0.0000  2 Hg 2.73, 6 Pd 2.99
2 Ge 0.5000 0.5000 0.5000  6 Ge 2.99, 6 Hg 3.27
3 Hg 0.0826 0.0826 0.7521  1 Pd 2.73, 6 Hg 2.99
4 Hg 0.9174 0.9174 0.2479  1 Pd 2.73, 6 Hg 2.99

=====

[3]
Density functional theory data (PBE-GGA) for an optimized crystal structure of AcMgAlSn.

## Properties
uncorrected energy	-0.262	Ry/atom
formation energy from the elements	-4.7	kcal/mol of atoms

Cell lengths 5.3878, 5.3878, 5.3878 Å; angles 60.00, 60.00, 60.00 degrees
Closest atoms and distances in Å follow each position.
Sites, in units of the cell vectors:
1 Mg 0.5000 0.5000 0.5000  4 Sn 3.30, 4 Al 3.30
2 Ac 0.0000 0.0000 0.0000  4 Al 3.30, 4 Sn 3.30
3 Sn 0.2500 0.2500 0.2500  4 Ac 3.30, 4 Mg 3.30
4 Al 0.7500 0.7500 0.7500  4 Mg 3.30, 4 Ac 3.30

=====

[4]
Density functional theory data (PBE-GGA) for an optimized crystal structure of EuEr2Tl.

## Properties
uncorrected energy	-0.407	Ry/atom
formation energy from the elements	-2.3	kcal/mol of atoms

Cell lengths 3.6522, 3.6522, 9.3466 Å; angles 90.00, 90.00, 90.00 degrees
Closest atoms and distances in Å follow each position.
Sites, in units of the cell vectors:
1 Eu 0.5000 0.5000 0.5000  4 Eu 3.65, 8 Er 3.73
2 Er 0.0000 0.0000 0.7874  4 Tl 3.26
3 Er 0.0000 0.0000 0.2126  4 Tl 3.26
4 Tl 0.5000 0.5000 0.0000  8 Er 3.26

=====

[5]
Density functional theory data (PBE-GGA) for an optimized crystal structure of SrAc2Ir2.

## Properties
uncorrected energy	-0.440	Ry/atom
formation energy from the elements	-10.8	kcal/mol of atoms

Cell lengths 4.4531, 8.1796, 9.9420 Å; angles 104.37, 89.99, 74.19 degrees
Closest atoms and distances in Å follow each position.
Sites, in units of the cell vectors:
1 Ac 0.1997 0.6005 0.3692  5 Ir 2.99-3.06
2 Ac 0.8003 0.3995 0.6308  5 Ir 2.99-3.06
3 Ac 0.8535 0.2931 0.0112  4 Ir 2.94-3.01
4 Ac 0.1465 0.7069 0.9888  4 Ir 2.94-3.01
5 Sr 0.5330 0.9339 0.7005  3 Ir 3.07-3.09
6 Sr 0.4670 0.0661 0.2995  3 Ir 3.07-3.09
7 Ir 0.1693 0.6615 0.6857  4 Ac 2.94-3.06, 2 Sr 3.07, 1 Ir 3.16
8 Ir 0.3312 0.3378 0.8195  5 Ac 2.96-3.03, 1 Sr 3.09, 1 Ir 3.16
9 Ir 0.6688 0.6622 0.1805  5 Ac 2.96-3.03, 1 Sr 3.09, 1 Ir 3.16
10 Ir 0.8307 0.3385 0.3143  4 Ac 2.94-3.06, 2 Sr 3.07, 1 Ir 3.16

=====

[6]
Density functional theory data (PBE-GGA) for an optimized crystal structure of Pr2Nd2Sn.

## Properties
uncorrected energy	-0.329	Ry/atom
formation energy from the elements	3.2	kcal/mol of atoms

Cell lengths 4.4434, 4.4434, 9.5754 Å; angles 103.42, 103.42, 90.00 degrees
Closest atoms and distances in Å follow each position.
Sites, in units of the cell vectors:
1 Nd 0.7500 0.2500 0.5000  4 Nd 3.14
2 Nd 0.2500 0.7500 0.5000  4 Nd 3.14
3 Pr 0.4163 0.4163 0.8326  1 Pr 3.03
4 Pr 0.5837 0.5837 0.1674  1 Pr 3.03
5 Sn 0.0000 0.0000 0.0000  8 Pr 3.49